Record 1
Below is an optimized crystal structure of Pr8Ni4O17, with properties calculated at the PBE+U level.

Unit cell a=5.541 b=5.530 c=12.556 alpha=90.18 beta=90.68 gamma=90.02
Element x y z (fractional)
Pr: 0.009 0.017 0.353
Pr: 0.499 0.998 0.145
Pr: 0.516 0.006 0.860
Pr: 0.520 0.512 0.353
Pr: 0.483 0.499 0.637
Pr: 0.995 0.491 0.146
Pr: 0.983 0.522 0.862
Pr: 0.996 0.032 0.639
Ni: 0.008 0.010 0.998
Ni: 0.490 0.009 0.500
Ni: 0.996 0.522 0.500
Ni: 0.495 0.515 0.999
O: 0.473 0.062 0.674
O: 0.740 0.260 0.000
O: 0.759 0.260 0.498
O: 0.251 0.272 0.973
O: 0.251 0.284 0.481
O: 0.742 0.248 0.249
O: 0.037 0.460 0.680
O: 0.553 0.550 0.819
O: 0.418 0.552 0.167
O: 0.979 0.606 0.332
O: 0.262 0.765 0.973
O: 0.229 0.772 0.526
O: 0.739 0.752 0.525
O: 0.755 0.751 0.017
O: 0.087 0.021 0.159
O: 0.951 0.981 0.824
O: 0.450 0.937 0.338

Computed properties:
total energy: -7.10 eV per atom
D(E_F): 5.2 states/eV per cell

=====

Record 2
Below is an optimized crystal structure of CrS2O, with properties calculated at the PBE+U level.

Unit cell a=7.859 b=7.859 c=7.859 alpha=22.68 beta=22.68 gamma=22.68
Element x y z (fractional)
Cr: 0.000 0.000 0.000
S: 0.899 0.899 0.899
S: 0.101 0.101 0.101
O: 0.500 0.500 0.500

Computed properties:
total energy: -4.24 eV per atom
D(E_F): 2.3 states/eV per cell